[1]
MgCu2Ru | PBE | relaxed

POSCAR file:
```
MgCu2Ru
1.0
2.9250 0.0000 0.0000
0.0000 3.2321 0.0000
0.0000 0.0000 5.8893
Mg Cu Ru
1 2 1
Direct
0.0000 0.0000 0.0000 Mg
0.0000 0.0000 0.5155 Cu
0.5000 0.5000 0.7327 Cu
0.5000 0.5000 0.2760 Ru
```

Calculated values
Fermi-level density of states = 0.839 states/eV/atom
Formation energy from the elements = 13.0 kJ per mole of atoms


[2]
HoMgOs | PBE | relaxed

POSCAR file:
```
HoMgOs
1.0
0.0000 4.8487 5.1178
2.6056 0.0000 5.1178
2.6056 4.8487 0.0000
Ho Mg Os
2 2 2
Direct
0.1587 0.1587 0.8413 Ho
0.8413 0.8413 0.1587 Ho
0.3304 0.6696 0.3304 Mg
0.6696 0.3304 0.6696 Mg
0.2500 0.2500 0.2500 Os
0.7500 0.7500 0.7500 Os
```

Calculated values
Fermi-level density of states = 0.754 states/eV/atom
Formation energy from the elements = -4.4 kJ per mole of atoms


[3]
LiSmSi2Pd | PBE | relaxed

POSCAR file:
```
LiSmSi2Pd
1.0
-2.0359 2.0359 5.2582
2.0359 -2.0359 5.2582
2.0359 2.0359 -5.2582
Li Sm Si Pd
1 1 2 1
Direct
0.0000 0.0000 0.0000 Li
0.2500 0.7500 0.5000 Sm
0.6383 0.1383 0.5000 Si
0.8617 0.3617 0.5000 Si
0.5000 0.5000 0.0000 Pd
```

Calculated values
Fermi-level density of states = 0.483 states/eV/atom


[4]
Fe3HBr | PBE | relaxed

POSCAR file:
```
Fe3HBr
1.0
4.4599 0.0000 0.0000
0.0000 4.4599 0.0000
0.0000 0.0000 4.4599
Fe H Br
3 1 1
Direct
0.0000 0.0000 0.5000 Fe
0.0000 0.5000 0.0000 Fe
0.5000 0.0000 0.0000 Fe
0.5000 0.5000 0.5000 H
0.0000 0.0000 0.0000 Br
```

Calculated values
Fermi-level density of states = 1.242 states/eV/atom


[5]
RbCoAsSe2 | PBE | relaxed

POSCAR file:
```
RbCoAsSe2
1.0
5.1786 0.0000 0.0000
0.0000 5.1786 0.0000
0.0000 0.0000 4.4424
Rb Co As Se
1 1 1 2
Direct
0.0000 0.0000 0.0000 Rb
0.5000 0.5000 0.5000 Co
0.5000 0.5000 0.0000 As
0.0000 0.5000 0.5000 Se
0.5000 0.0000 0.5000 Se
```

Calculated values
Fermi-level density of states = 1.059 states/eV/atom


[6]
TlCdAgBi | PBE | relaxed

POSCAR file:
```
TlCdAgBi
1.0
0.0000 3.7370 3.7370
3.7370 0.0000 3.7370
3.7370 3.7370 0.0000
Tl Cd Ag Bi
1 1 1 1
Direct
0.0000 0.0000 0.0000 Tl
0.7500 0.7500 0.7500 Cd
0.2500 0.2500 0.2500 Ag
0.5000 0.5000 0.5000 Bi
```

Calculated values
Fermi-level density of states = 0.391 states/eV/atom
Formation energy from the elements = 8.3 kJ per mole of atoms


[7]
TaSiH2W | PBE | relaxed

POSCAR file:
```
TaSiH2W
1.0
3.5817 0.0000 0.0000
0.0000 3.5817 0.0000
0.0000 0.0000 5.2803
Ta Si H W
1 1 2 1
Direct
0.0000 0.0000 0.0000 Ta
0.5000 0.5000 0.0000 Si
0.0000 0.5000 0.5000 H
0.5000 0.0000 0.5000 H
0.0000 0.0000 0.5000 W
```

Calculated values
Fermi-level density of states = 0.475 states/eV/atom


[8]
NaCaTm2Tl4 | PBE | relaxed

POSCAR file:
```
NaCaTm2Tl4
1.0
2.6723 1.5428 8.7920
-2.6723 1.5428 8.7920
0.0000 -3.0857 8.7920
Na Ca Tm Tl
1 1 2 4
Direct
0.0000 0.0000 0.0000 Na
0.5000 0.5000 0.5000 Ca
0.2518 0.2518 0.2518 Tm
0.7482 0.7482 0.7482 Tm
0.1231 0.1231 0.1231 Tl
0.3737 0.3737 0.3737 Tl
0.6263 0.6263 0.6263 Tl
0.8769 0.8769 0.8769 Tl
```

Calculated values
Fermi-level density of states = 0.432 states/eV/atom
Formation energy from the elements = -26.6 kJ per mole of atoms


no.,DFT total energy (eV/atom)
1,-4.631
2,-5.847
3,-5.309
4,-4.422
5,-4.018
6,-2.417
7,-6.676
8,-2.991